[1]
Material: PuScTi2
Method: DFT, PBE
State: optimized geometry

Calculated values
As for the space group: R3m, No. 160. The crystal system is trigonal. Its formation enthalpy at 0 K is 0.1929 eV/atom. As for the energy relative to the lowest polymorph listed for this composition: 0.81 kcal/mol of atoms.

Cell: 3.106 3.106 9.974 Å, 81.04 81.04 60.00°
Each line ends with the local moment (μB).
Sites, in units of the cell vectors:
Ti: 0.084 0.084 0.747  -0.18
Sc: 0.666 0.666 0.001  0.12
Pu: 0.501 0.501 0.498  4.98
Ti: 0.249 0.249 0.253  -0.27


[2]
Material: TcHg2Cl
Method: DFT, PBE
State: optimized geometry

Calculated values
As for the space group: I-4m2, No. 119. The formation energy (no corrections) is 0.6493 eV/atom. The crystal system is tetragonal. As for the energy relative to the lowest polymorph listed for this composition: 10.14 kcal/mol of atoms.

Cell: 5.550 5.550 5.550 Å, 133.97 133.97 67.13°
Each line ends with the local moment (μB).
Sites, in units of the cell vectors:
Hg: 0.000 0.000 0.000  -0.02
Hg: 0.250 0.750 0.500  0.02
Cl: 0.750 0.250 0.500  0.12
Tc: 0.500 0.500 0.000  3.05


[3]
Material: K2TeMo
Method: DFT, PBE
State: optimized geometry

Calculated values
As for the space group: R-3m, No. 166. The formation energy (no corrections) is 0.8632 eV/atom. The crystal system is trigonal.

Cell: 12.104 12.104 12.104 Å, 15.42 15.42 15.42°
Each line ends with the local moment (μB).
Sites, in units of the cell vectors:
Mo: 0.250 0.250 0.250  0.42
K: 0.000 0.000 0.000  0.00
Te: 0.750 0.750 0.750  0.00
K: 0.500 0.500 0.500  0.00